VASP calculation (PBE-GGA) on a relaxed KYP2O7 crystal.

```
KYP2O7
1.0
-1.5690 -3.2940 10.4810
-1.9787 -7.0627 -2.5159
7.3009 -4.8084 -0.4183
K Y P O
4 4 8 28
direct
0.8209 0.1740 0.4232
0.6791 0.1740 0.9232
0.3209 0.8260 0.0768
0.1791 0.8260 0.5768
0.5973 0.7665 0.7504
0.0973 0.2335 0.7496
0.9027 0.7665 0.2504
0.4027 0.2335 0.2496
0.1020 0.1273 0.1904
0.6020 0.8727 0.3096
0.3980 0.1273 0.6904
0.8980 0.8727 0.8096
0.3597 0.4410 0.8069
0.8597 0.5590 0.6931
0.6403 0.5590 0.1931
0.1403 0.4410 0.3069
0.0805 0.6274 0.2559
0.0975 0.1345 0.0153
0.7267 0.9312 0.2347
0.2267 0.0688 0.2653
0.4025 0.1345 0.5153
0.5748 0.6683 0.3040
0.3860 0.3334 0.9806
0.4987 0.0089 0.7897
0.9987 0.9911 0.7103
0.4252 0.3317 0.6960
0.4195 0.6274 0.7559
0.2743 0.4572 0.2619
0.5013 0.9911 0.2103
0.0748 0.3317 0.1960
0.2733 0.0688 0.7653
0.9025 0.8655 0.9847
0.9252 0.6683 0.8040
0.8860 0.6666 0.5194
0.5805 0.3726 0.2441
0.7257 0.5428 0.7381
0.5975 0.8655 0.4847
0.6140 0.6666 0.0194
0.9195 0.3726 0.7441
0.1140 0.3334 0.4806
0.0013 0.0089 0.2897
0.2257 0.4572 0.7619
0.7733 0.9312 0.7347
0.7743 0.5428 0.2381
```

Summary:
Uncorrected energy, eV per atom: -7.5156
ΔE to the lowest computed polymorph, eV per formula unit: 0.00
Total moment, μB per atom: 0.000
Uncorrected formation energy, meV/atom: -2689
Space-group type: No. 14



VASP calculation (PBE-GGA) on a relaxed Na2Al2Cu crystal.

```
Na2Al2Cu
1.0
6.4264 0.0000 0.0000
0.0000 6.4264 0.0000
0.0000 0.0000 5.2882
Na Al Cu
4 4 2
direct
0.1758 0.6758 0.5000
0.6758 0.8242 0.5000
0.8242 0.3242 0.5000
0.3242 0.1758 0.5000
0.3510 0.8510 0.0000
0.8510 0.6490 0.0000
0.6490 0.1490 0.0000
0.1490 0.3510 0.0000
0.0000 0.0000 0.0000
0.5000 0.5000 0.0000
```

Summary:
Formation energy, meV per atom: 125
Uncorrected energy, eV per atom: -2.7186
Total moment, μB per atom: 0.000
Space-group type: No. 127



VASP calculation (PBE-GGA) on a relaxed CeY2Hf crystal.

```
CeY2Hf
1.0
3.3160 0.0000 0.0000
1.6580 2.8717 0.0000
1.6580 0.9572 11.9413
Y Hf Ce
2 1 1
direct
0.0872 0.0872 0.7384
0.9128 0.9128 0.2616
0.0000 0.0000 0.0000
0.5000 0.5000 0.5000
```

Summary:
Formation energy, meV per atom: 380
Uncorrected energy, eV per atom: -6.8239
ΔE to the lowest computed polymorph, eV per formula unit: 0.86
Total moment, μB per atom: 0.067
Space-group type: No. 166



VASP calculation (PBE-GGA) on a relaxed AlTl2Br crystal.

```
AlTl2Br
1.0
-2.7052 -0.9372 2.3821
1.9288 -4.7455 0.3232
3.5670 1.7732 4.7484
Tl Al Br
2 1 1
direct
0.0000 0.0000 0.8757
0.5000 0.5000 0.3745
0.0000 0.0000 0.3757
0.5000 0.5000 0.8742
```

Summary:
Uncorrected energy, eV per atom: -2.6260
ΔE to the lowest computed polymorph, eV per formula unit: 0.00
Total moment, μB per atom: 0.000
Uncorrected formation energy, meV/atom: -89
Space-group type: No. 25